Computed, not measured: a relaxed structure of SrBe2Au at the PBE-GGA level of DFT.

Cell lengths 7.489, 4.281, 4.409 Å; angles 90.18, 53.67, 124.72 degrees
Sites, in units of the cell vectors:
Sr: 0.000 0.500 0.500
Au: 0.500 0.500 0.000
Be: 0.000 0.000 0.000
Be: 0.500 0.000 0.500

Calculated values
- Total magnetic moment: 0.000 μB/cell
- Energy relative to the lowest polymorph listed for this composition: 0.766 eV per atom
- Symmetry: C2/m (12)
- Crystal system: monoclinic
- Uncorrected energy: -0.0938 hartree per atom
- Formation energy: 0.551 eV per atom